DFT (PBE-GGA) results for a relaxed structure of Tm4Zn2Rh.

POSCAR file:
```
Tm4Zn2Rh
1.0
-3.4479 3.4479 3.4239
3.4479 -3.4479 3.4239
3.4479 3.4479 -3.4239
Tm Zn Rh
4 2 1
Cartesian
1.7240 1.7240 -1.7120
1.7240 -1.7240 1.7120
-1.7240 1.7240 1.7120
1.7240 1.7240 1.7120
3.4479 0.0000 0.0000
0.0000 3.4479 0.0000
0.0000 0.0000 0.0000
```

**Fermi-level density of states**: 0.70 states/eV per atom
**Formation energy from the elements**: -0.40 eV/atom
**Density**: 9.275 Mg/m³

***

DFT (PBE-GGA) results for a relaxed structure of Tm6Zn2Rh.

POSCAR file:
```
Tm6Zn2Rh
1.0
-4.6741 4.7198 4.9345
4.6741 -4.7198 4.9345
4.6741 4.7198 -4.9345
Tm Zn Rh
12 4 2
Cartesian
4.6741 3.0694 -2.4718
2.4759 1.7914 0.0000
6.8723 1.7914 0.0000
3.0459 0.0000 2.7533
6.3022 0.0000 2.7533
0.0000 1.6503 2.4626
4.6741 3.0694 2.4718
-1.6282 4.7198 2.1811
1.6282 4.7198 2.1811
-2.1982 2.9284 4.9345
2.1982 2.9284 4.9345
0.0000 1.6503 7.4063
0.0000 3.4229 0.0000
3.4705 4.7198 0.0000
1.2036 0.0000 4.9345
0.0000 6.0166 0.0000
0.0000 0.0000 0.0000
4.6741 0.0000 0.0000
```

**E above lowest polymorph**: 0 meV per atom
**Fermi-level density of states**: 0.89 states/eV per atom
**Formation energy from the elements**: -0.35 eV/atom
**Density**: 9.514 Mg/m³

***

DFT (PBE-GGA) results for a relaxed structure of TmZn3Rh4.

POSCAR file:
```
TmZn3Rh4
1.0
2.1993 1.2698 7.1908
-2.1993 1.2698 7.1908
0.0000 -2.5395 7.1908
Tm Zn Rh
1 3 4
Cartesian
0.0000 0.0000 0.0000
0.0000 0.0000 5.3813
0.0000 0.0000 10.7863
0.0000 0.0000 16.1913
0.0000 0.0000 2.7817
0.0000 0.0000 8.2020
0.0000 0.0000 13.3705
0.0000 0.0000 18.7908
```

**Fermi-level density of states**: 0.57 states/eV per atom
**Formation energy from the elements**: -0.55 eV/atom
**Density**: 10.705 Mg/m³

***

DFT (PBE-GGA) results for a relaxed structure of TmZrZnRh.

POSCAR file:
```
TmZrZnRh
1.0
3.3960 0.0000 0.0000
0.0000 3.3960 0.0000
0.0000 0.0000 6.7429
Tm Zr Zn Rh
1 1 1 1
Cartesian
0.0000 0.0000 0.0000
0.0000 0.0000 3.4737
1.6980 1.6980 1.8717
1.6980 1.6980 4.9696
```

**E above lowest polymorph**: 0 meV per atom
**Fermi-level density of states**: 0.72 states/eV per atom
**Formation energy from the elements**: -0.59 eV/atom
**Density**: 9.149 Mg/m³

***

DFT (PBE-GGA) results for a relaxed structure of Tm2ZrZn2Rh5.

POSCAR file:
```
Tm2ZrZn2Rh5
1.0
9.7745 0.0000 0.0000
0.0000 9.7745 0.0000
0.0000 0.0000 3.5946
Tm Zr Zn Rh
4 2 4 10
Cartesian
1.6759 3.2114 0.0000
3.2114 8.0986 0.0000
6.5631 1.6759 0.0000
8.0986 6.5631 0.0000
0.0000 0.0000 0.0000
4.8872 4.8872 0.0000
1.2165 6.1037 0.0000
3.6708 1.2165 0.0000
6.1037 8.5580 0.0000
8.5580 3.6708 0.0000
0.0000 4.8872 1.7973
0.6921 7.7857 1.7973
1.9888 0.6921 1.7973
2.8984 5.5793 1.7973
4.1951 2.8984 1.7973
4.8872 0.0000 1.7973
5.5793 6.8760 1.7973
6.8760 4.1951 1.7973
7.7857 9.0824 1.7973
9.0824 1.9888 1.7973
```

**Fermi-level density of states**: 0.51 states/eV per atom
**Formation energy from the elements**: -0.73 eV/atom
**Density**: 10.390 Mg/m³

***

DFT (PBE-GGA) results for a relaxed structure of TmZrZnRh.

POSCAR file:
```
TmZrZnRh
1.0
0.0000 3.3836 3.3836
3.3836 0.0000 3.3836
3.3836 3.3836 0.0000
Tm Zr Zn Rh
1 1 1 1
Cartesian
0.0000 0.0000 0.0000
3.3836 3.3836 3.3836
1.6918 1.6918 1.6918
5.0754 5.0754 5.0754
```

**E above lowest polymorph**: 73 meV per atom
**Fermi-level density of states**: 1.02 states/eV per atom
**Formation energy from the elements**: -0.52 eV/atom
**Density**: 9.184 Mg/m³

***

DFT (PBE-GGA) results for a relaxed structure of Tm3ZrRh4.

POSCAR file:
```
Tm3ZrRh4
1.0
3.3212 0.0000 0.0000
0.0000 3.3212 0.0000
0.0000 0.0000 13.7804
Tm Zr Rh
3 1 4
Cartesian
0.0000 0.0000 0.0000
0.0000 0.0000 3.4692
0.0000 0.0000 10.3112
0.0000 0.0000 6.8902
1.6606 1.6606 1.7524
1.6606 1.6606 5.3087
1.6606 1.6606 8.4717
1.6606 1.6606 12.0280
```

**Fermi-level density of states**: 0.51 states/eV per atom
**Formation energy from the elements**: -0.92 eV/atom
**Density**: 11.030 Mg/m³

***

DFT (PBE-GGA) results for a relaxed structure of TmZr2Rh.

POSCAR file:
```
TmZr2Rh
1.0
2.1381 -5.5373 0.0000
2.1381 5.5373 0.0000
0.0000 0.0000 7.6446
Tm Zr Rh
2 4 2
Cartesian
2.1381 4.9465 5.7335
2.1381 -4.9465 1.9112
2.1381 1.5889 4.1790
2.1381 1.5889 7.2880
2.1381 -1.5889 0.3567
2.1381 -1.5889 3.4656
2.1381 3.0757 1.9112
2.1381 -3.0757 5.7335
```

**E above lowest polymorph**: 0 meV per atom
**Fermi-level density of states**: 1.00 states/eV per atom
**Formation energy from the elements**: -0.40 eV/atom
**Density**: 8.335 Mg/m³

***

DFT (PBE-GGA) results for a relaxed structure of TmZr5Rh6.

POSCAR file:
```
TmZr5Rh6
1.0
4.6789 0.0000 0.0000
0.0000 6.6520 0.0000
-2.3020 0.0000 7.0140
Tm Zr Rh
1 5 6
Cartesian
0.0000 0.0000 0.0000
0.0000 3.3260 0.0000
0.0253 0.0000 4.6699
0.0235 3.3260 4.6823
2.3516 0.0000 2.3441
2.3534 3.3260 2.3317
0.0131 1.6838 2.3919
0.0131 4.9682 2.3919
2.3394 1.7050 0.0000
2.3394 4.9470 0.0000
2.3638 1.6838 4.6221
2.3638 4.9682 4.6221
```

**Fermi-level density of states**: 0.86 states/eV per atom
**Formation energy from the elements**: -0.79 eV/atom
**Density**: 9.451 Mg/m³

***

DFT (PBE-GGA) results for a relaxed structure of TmZr2Rh.

POSCAR file:
```
TmZr2Rh
1.0
3.3718 0.0000 0.0000
0.0000 3.3718 0.0000
0.0000 0.0000 7.6672
Tm Zr Rh
1 2 1
Cartesian
0.0000 0.0000 0.0000
1.6859 1.6859 2.2550
1.6859 1.6859 5.4121
0.0000 0.0000 3.8336
```

**E above lowest polymorph**: 113 meV per atom
**Fermi-level density of states**: 1.78 states/eV per atom
**Formation energy from the elements**: -0.29 eV/atom
**Density**: 8.654 Mg/m³

***

DFT (PBE-GGA) results for a relaxed structure of Tm5ZrRh6.

POSCAR file:
```
Tm5ZrRh6
1.0
2.3481 -7.0639 0.0000
2.3481 7.0639 0.0000
0.0000 0.0000 6.9033
Tm Zr Rh
5 1 6
Cartesian
0.0000 0.0000 0.0000
2.3481 2.3523 0.0000
2.3481 2.3645 3.4517
2.3481 -2.3523 0.0000
2.3481 -2.3645 3.4517
0.0000 0.0000 3.4517
2.3481 4.7672 1.7525
2.3481 4.7672 5.1508
2.3481 0.0000 1.8048
2.3481 0.0000 5.0985
2.3481 -4.7672 1.7525
2.3481 -4.7672 5.1508
```

**Fermi-level density of states**: 0.48 states/eV per atom
**Formation energy from the elements**: -0.94 eV/atom
**Density**: 11.263 Mg/m³

***

DFT (PBE-GGA) results for a relaxed structure of Tm2ZrRh.

POSCAR file:
```
Tm2ZrRh
1.0
3.4193 0.0000 0.0000
0.0000 3.4193 0.0000
0.0000 0.0000 7.8291
Tm Zr Rh
2 1 1
Cartesian
0.0000 0.0000 1.6291
0.0000 0.0000 6.2000
1.7097 1.7097 3.9145
1.7097 1.7097 0.0000
```

**Fermi-level density of states**: 1.27 states/eV per atom
**Formation energy from the elements**: -0.42 eV/atom
**Density**: 9.651 Mg/m³